A) Ba2MoRu: optimized geometry, PBE.

Values from the calculation:
Calculated density, kg/m3: 6842
SG: P4/mmm

The structure in POSCAR format:
```
Ba2MoRu
1.0
5.012 0.000 0.000
0.000 5.012 0.000
0.000 0.000 4.557
Ba Mo Ru
2 1 1
Direct
0.000 0.500 0.000
0.500 0.000 0.000
0.000 0.000 0.500
0.500 0.500 0.500
```

=====

B) Ba2MoRu: optimized geometry, PBE.

Values from the calculation:
Calculated density, kg/m3: 6783
SG: Fm-3m

The structure in POSCAR format:
```
Ba2MoRu
1.0
7.730 0.000 0.000
0.000 7.730 0.000
0.000 0.000 7.730
Ba Mo Ru
8 4 4
Direct
0.250 0.250 0.250
0.250 0.250 0.750
0.250 0.750 0.250
0.250 0.750 0.750
0.750 0.250 0.250
0.750 0.250 0.750
0.750 0.750 0.250
0.750 0.750 0.750
0.000 0.000 0.000
0.000 0.500 0.500
0.500 0.000 0.500
0.500 0.500 0.000
0.000 0.000 0.500
0.000 0.500 0.000
0.500 0.000 0.000
0.500 0.500 0.500
```

=====

C) Ba2MoRu: optimized geometry, PBE.

Values from the calculation:
Calculated density, kg/m3: 6808
SG: I4/mmm

The structure in POSCAR format:
```
Ba2MoRu
1.0
5.160 0.000 0.000
0.000 5.160 0.000
0.000 0.000 8.642
Ba Mo Ru
4 2 2
Direct
0.000 0.500 0.250
0.000 0.500 0.750
0.500 0.000 0.250
0.500 0.000 0.750
0.000 0.000 0.000
0.500 0.500 0.500
0.000 0.000 0.500
0.500 0.500 0.000
```

=====

D) Ba2MoRu: optimized geometry, PBE.

Values from the calculation:
Calculated density, kg/m3: 6286
SG: Pm

The structure in POSCAR format:
```
Ba2MoRu
1.0
3.490 0.000 0.000
0.000 3.606 0.000
-1.714 0.000 9.900
Ba Mo Ru
2 1 1
Direct
0.000 0.000 0.000
0.208 0.500 0.403
0.363 0.500 0.723
0.839 0.000 0.675
```

=====

According to the calculations, the structures order from most to least stable as D), C), B), A).

=====

A) BaMoRu: optimized geometry, PBE.

Values from the calculation:
Calculated density, kg/m3: 6812
SG: P3m1

The structure in POSCAR format:
```
BaMoRu
1.0
4.151 0.000 0.000
-2.075 3.595 0.000
0.000 0.000 5.463
Ba Mo Ru
1 1 1
Direct
0.000 0.000 0.000
0.333 0.667 0.518
0.667 0.333 0.471
```

=====

B) BaMoRu: optimized geometry, PBE.

Values from the calculation:
Calculated density, kg/m3: 7687
SG: F-43m

The structure in POSCAR format:
```
BaMoRu
1.0
6.611 0.000 0.000
0.000 6.611 0.000
0.000 0.000 6.611
Ba Mo Ru
4 4 4
Direct
0.000 0.000 0.000
0.000 0.500 0.500
0.500 0.000 0.500
0.500 0.500 0.000
0.250 0.250 0.750
0.250 0.750 0.250
0.750 0.250 0.250
0.750 0.750 0.750
0.250 0.250 0.250
0.250 0.750 0.750
0.750 0.250 0.750
0.750 0.750 0.250
```

=====

C) BaMoRu: optimized geometry, PBE.

Values from the calculation:
Calculated density, kg/m3: 7941
SG: F-43m

The structure in POSCAR format:
```
BaMoRu
1.0
6.539 0.000 0.000
0.000 6.539 0.000
0.000 0.000 6.539
Ba Mo Ru
4 4 4
Direct
0.000 0.000 0.000
0.000 0.500 0.500
0.500 0.000 0.500
0.500 0.500 0.000
0.250 0.250 0.250
0.250 0.750 0.750
0.750 0.250 0.750
0.750 0.750 0.250
0.000 0.000 0.500
0.000 0.500 0.000
0.500 0.000 0.000
0.500 0.500 0.500
```

=====

D) BaMoRu: optimized geometry, PBE.

Values from the calculation:
Calculated density, kg/m3: 7462
SG: Imm2

The structure in POSCAR format:
```
BaMoRu
1.0
3.340 0.000 0.000
0.000 3.632 0.000
0.000 0.000 12.266
Ba Mo Ru
2 2 2
Direct
0.000 0.000 0.000
0.500 0.500 0.500
0.000 0.000 0.730
0.500 0.500 0.230
0.000 0.000 0.274
0.500 0.500 0.774
```

=====

According to the calculations, the structures order from most to least stable as A), D), C), B).

=====

A) BaMo3Ru: optimized geometry, PBE.

Values from the calculation:
Calculated density, kg/m3: 7633
SG: Pm-3m

The structure in POSCAR format:
```
BaMo3Ru
1.0
4.856 0.000 0.000
0.000 4.856 0.000
0.000 0.000 4.856
Ba Mo Ru
1 3 1
Direct
0.000 0.000 0.000
0.000 0.000 0.500
0.000 0.500 0.000
0.500 0.000 0.000
0.500 0.500 0.500
```

=====

B) BaMo3Ru: optimized geometry, PBE.

Values from the calculation:
Calculated density, kg/m3: 7443
SG: Pm-3m

The structure in POSCAR format:
```
BaMo3Ru
1.0
4.897 0.000 0.000
0.000 4.897 0.000
0.000 0.000 4.897
Ba Mo Ru
1 3 1
Direct
0.000 0.000 0.000
0.000 0.500 0.500
0.500 0.000 0.500
0.500 0.500 0.000
0.500 0.500 0.500
```

=====

According to the calculations, the structures order from most to least stable as B), A).

=====

A) BaMo3S: optimized geometry, PBE.

Values from the calculation:
Calculated density, kg/m3: 6032
SG: Pm-3m

The structure in POSCAR format:
```
BaMo3S
1.0
5.012 0.000 0.000
0.000 5.012 0.000
0.000 0.000 5.012
Ba Mo S
1 3 1
Direct
0.000 0.000 0.000
0.000 0.000 0.500
0.000 0.500 0.000
0.500 0.000 0.000
0.500 0.500 0.500
```

=====

B) BaMo3S: optimized geometry, PBE.

Values from the calculation:
Calculated density, kg/m3: 7424
SG: Pm-3m

The structure in POSCAR format:
```
BaMo3S
1.0
4.676 0.000 0.000
0.000 4.676 0.000
0.000 0.000 4.676
Ba Mo S
1 3 1
Direct
0.000 0.000 0.000
0.000 0.500 0.500
0.500 0.000 0.500
0.500 0.500 0.000
0.500 0.500 0.500
```

=====

According to the calculations, the structures order from most to least stable as B), A).

=====

A) BaMoS2: optimized geometry, PBE.

Values from the calculation:
Calculated density, kg/m3: 4386
SG: I-42d

The structure in POSCAR format:
```
BaMoS2
1.0
5.963 0.000 0.000
0.000 5.963 0.000
0.000 0.000 12.665
Ba Mo S
4 4 8
Direct
0.000 0.000 0.000
0.000 0.500 0.250
0.500 0.000 0.750
0.500 0.500 0.500
0.000 0.000 0.500
0.000 0.500 0.750
0.500 0.000 0.250
0.500 0.500 0.000
0.130 0.250 0.625
0.250 0.630 0.875
0.250 0.870 0.375
0.370 0.250 0.125
0.630 0.750 0.125
0.750 0.130 0.375
0.750 0.370 0.875
0.870 0.750 0.625
```

=====

B) BaMoS2: optimized geometry, PBE.

Values from the calculation:
Calculated density, kg/m3: 4854
SG: R-3m

The structure in POSCAR format:
```
BaMoS2
1.0
3.651 0.000 0.000
-1.826 3.162 0.000
0.000 0.000 26.436
Ba Mo S
3 3 6
Direct
0.000 0.000 0.000
0.333 0.667 0.667
0.667 0.333 0.333
0.000 0.000 0.500
0.333 0.667 0.167
0.667 0.333 0.833
0.000 0.000 0.116
0.000 0.000 0.884
0.333 0.667 0.551
0.333 0.667 0.782
0.667 0.333 0.218
0.667 0.333 0.449
```

=====

C) BaMoS2: optimized geometry, PBE.

Values from the calculation:
Calculated density, kg/m3: 6043
SG: Fm-3m

The structure in POSCAR format:
```
BaMoS2
1.0
6.888 0.000 0.000
0.000 6.888 0.000
0.000 0.000 6.888
Ba Mo S
4 4 8
Direct
0.000 0.000 0.000
0.000 0.500 0.500
0.500 0.000 0.500
0.500 0.500 0.000
0.000 0.000 0.500
0.000 0.500 0.000
0.500 0.000 0.000
0.500 0.500 0.500
0.250 0.250 0.250
0.250 0.250 0.750
0.250 0.750 0.250
0.250 0.750 0.750
0.750 0.250 0.250
0.750 0.250 0.750
0.750 0.750 0.250
0.750 0.750 0.750
```

=====

According to the calculations, the structures order from most to least stable as A), B), C).

=====

A) BaSb2Mo: optimized geometry, PBE.

Values from the calculation:
Calculated density, kg/m3: 6333
SG: Immm

The structure in POSCAR format:
```
BaSb2Mo
1.0
4.571 0.000 0.000
0.000 6.551 0.000
0.000 0.000 8.351
Ba Sb Mo
2 4 2
Direct
0.000 0.000 0.000
0.500 0.500 0.500
0.000 0.500 0.195
0.000 0.500 0.805
0.500 0.000 0.305
0.500 0.000 0.695
0.000 0.000 0.500
0.500 0.500 0.000
```

=====

B) BaSb2Mo: optimized geometry, PBE.

Values from the calculation:
Calculated density, kg/m3: 6476
SG: R-3m

The structure in POSCAR format:
```
BaSb2Mo
1.0
4.385 0.000 0.000
-2.192 3.797 0.000
0.000 0.000 22.027
Ba Sb Mo
3 6 3
Direct
0.000 0.000 0.000
0.333 0.667 0.667
0.667 0.333 0.333
0.000 0.000 0.226
0.000 0.000 0.774
0.333 0.667 0.441
0.333 0.667 0.892
0.667 0.333 0.108
0.667 0.333 0.559
0.000 0.000 0.500
0.333 0.667 0.167
0.667 0.333 0.833
```

=====

C) BaSb2Mo: optimized geometry, PBE.

Values from the calculation:
Calculated density, kg/m3: 5185
SG: I-42d

The structure in POSCAR format:
```
BaSb2Mo
1.0
6.079 0.000 0.000
0.000 6.079 0.000
0.000 0.000 16.531
Ba Sb Mo
4 8 4
Direct
0.000 0.000 0.000
0.000 0.500 0.250
0.500 0.000 0.750
0.500 0.500 0.500
0.039 0.250 0.625
0.250 0.539 0.875
0.250 0.961 0.375
0.461 0.250 0.125
0.539 0.750 0.125
0.750 0.039 0.375
0.750 0.461 0.875
0.961 0.750 0.625
0.000 0.000 0.500
0.000 0.500 0.750
0.500 0.000 0.250
0.500 0.500 0.000
```

=====

D) BaSb2Mo: optimized geometry, PBE.

Values from the calculation:
Calculated density, kg/m3: 5420
SG: Amm2

The structure in POSCAR format:
```
BaSb2Mo
1.0
4.979 0.000 0.000
0.000 4.480 0.000
0.000 0.000 13.096
Ba Sb Mo
2 4 2
Direct
0.000 0.000 0.000
0.000 0.500 0.500
0.000 0.000 0.709
0.000 0.500 0.209
0.500 0.000 0.390
0.500 0.500 0.890
0.500 0.000 0.778
0.500 0.500 0.278
```

=====

According to the calculations, the structures order from most to least stable as B), D), C), A).

=====

A) BaSb2Mo: optimized geometry, PBE.

Values from the calculation:
Calculated density, kg/m3: 7514
SG: Fm-3m

The structure in POSCAR format:
```
BaSb2Mo
1.0
7.498 0.000 0.000
0.000 7.498 0.000
0.000 0.000 7.498
Ba Sb Mo
4 8 4
Direct
0.000 0.000 0.000
0.000 0.500 0.500
0.500 0.000 0.500
0.500 0.500 0.000
0.250 0.250 0.250
0.250 0.250 0.750
0.250 0.750 0.250
0.250 0.750 0.750
0.750 0.250 0.250
0.750 0.250 0.750
0.750 0.750 0.250
0.750 0.750 0.750
0.000 0.000 0.500
0.000 0.500 0.000
0.500 0.000 0.000
0.500 0.500 0.500
```

=====

B) BaSb2Mo: optimized geometry, PBE.

Values from the calculation:
Calculated density, kg/m3: 6986
SG: C2/m

The structure in POSCAR format:
```
BaSb2Mo
1.0
8.201 0.000 0.000
0.000 8.207 0.000
-0.006 0.000 3.368
Ba Sb Mo
2 4 2
Direct
0.000 0.000 0.000
0.500 0.500 0.000
0.250 0.250 0.500
0.250 0.750 0.500
0.750 0.250 0.500
0.750 0.750 0.500
0.000 0.500 0.000
0.500 0.000 0.000
```

=====

According to the calculations, the structures order from most to least stable as A), B).

=====

A) BaSbMo: optimized geometry, PBE.

Values from the calculation:
Calculated density, kg/m3: 4964
SG: F-43m

The structure in POSCAR format:
```
BaSbMo
1.0
7.803 0.000 0.000
0.000 7.803 0.000
0.000 0.000 7.803
Ba Sb Mo
4 4 4
Direct
0.000 0.000 0.000
0.000 0.500 0.500
0.500 0.000 0.500
0.500 0.500 0.000
0.250 0.250 0.750
0.250 0.750 0.250
0.750 0.250 0.250
0.750 0.750 0.750
0.250 0.250 0.250
0.250 0.750 0.750
0.750 0.250 0.750
0.750 0.750 0.250
```

=====

B) BaSbMo: optimized geometry, PBE.

Values from the calculation:
Calculated density, kg/m3: 6434
SG: P3m1

The structure in POSCAR format:
```
BaSbMo
1.0
4.091 0.000 0.000
-2.046 3.543 0.000
0.000 0.000 6.320
Ba Sb Mo
1 1 1
Direct
0.000 0.000 0.000
0.667 0.333 0.580
0.333 0.667 0.380
```

=====

According to the calculations, the structures order from most to least stable as B), A).

=====

A) BaSbMo: optimized geometry, PBE.

Values from the calculation:
Calculated density, kg/m3: 7088
SG: I4mm

The structure in POSCAR format:
```
BaSbMo
1.0
3.636 0.000 0.000
0.000 3.636 0.000
0.000 0.000 12.584
Ba Sb Mo
2 2 2
Direct
0.000 0.000 0.000
0.500 0.500 0.500
0.000 0.000 0.719
0.500 0.500 0.219
0.000 0.000 0.301
0.500 0.500 0.801
```

=====

B) BaSbMo: optimized geometry, PBE.

Values from the calculation:
Calculated density, kg/m3: 6220
SG: P-6m2

The structure in POSCAR format:
```
BaSbMo
1.0
4.661 0.000 0.000
-2.330 4.036 0.000
0.000 0.000 5.038
Ba Sb Mo
1 1 1
Direct
0.000 0.000 0.000
0.333 0.667 0.500
0.667 0.333 0.500
```

=====

C) BaSbMo: optimized geometry, PBE.

Values from the calculation:
Calculated density, kg/m3: 5751
SG: F-43m

The structure in POSCAR format:
```
BaSbMo
1.0
7.429 0.000 0.000
0.000 7.429 0.000
0.000 0.000 7.429
Ba Sb Mo
4 4 4
Direct
0.000 0.000 0.000
0.000 0.500 0.500
0.500 0.000 0.500
0.500 0.500 0.000
0.000 0.000 0.500
0.000 0.500 0.000
0.500 0.000 0.000
0.500 0.500 0.500
0.250 0.250 0.750
0.250 0.750 0.250
0.750 0.250 0.250
0.750 0.750 0.750
```

=====

According to the calculations, the structures order from most to least stable as A), B), C).

=====

A) BaSbMo3: optimized geometry, PBE.

Values from the calculation:
Calculated density, kg/m3: 6845
SG: Pm-3m

The structure in POSCAR format:
```
BaSbMo3
1.0
5.100 0.000 0.000
0.000 5.100 0.000
0.000 0.000 5.100
Ba Sb Mo
1 1 3
Direct
0.000 0.000 0.000
0.500 0.500 0.500
0.000 0.500 0.500
0.500 0.000 0.500
0.500 0.500 0.000
```

=====

B) BaSbMo3: optimized geometry, PBE.

Values from the calculation:
Calculated density, kg/m3: 7053
SG: Pm-3m

The structure in POSCAR format:
```
BaSbMo3
1.0
5.050 0.000 0.000
0.000 5.050 0.000
0.000 0.000 5.050
Ba Sb Mo
1 1 3
Direct
0.000 0.000 0.000
0.500 0.500 0.500
0.000 0.000 0.500
0.000 0.500 0.000
0.500 0.000 0.000
```

=====

According to the calculations, the structures order from most to least stable as A), B).